# RbNdSnS3

An optimized crystal structure of RbNdSnS3 (PBE, OQMD).

Symmetry ... Pnma, No. 62
Relative energy among the computed polymorphs ... 0 meV per atom
Calculated total energy ... -5.035 eV/atom

a = 15.4680 Å, b = 4.1412 Å, c = 12.2365 Å
α = 90.00°, β = 90.00°, γ = 90.00°
Fractional coordinates of all 24 atoms:
Nd: 0.4988 0.2500 0.1453
Nd: 0.9988 0.2500 0.3547
Nd: 0.0012 0.7500 0.6453
Nd: 0.5012 0.7500 0.8547
Rb: 0.7641 0.2500 0.1040
Rb: 0.2641 0.2500 0.3960
Rb: 0.7359 0.7500 0.6040
Rb: 0.2359 0.7500 0.8960
S: 0.5968 0.7500 0.0482
S: 0.1255 0.2500 0.1795
S: 0.9159 0.7500 0.2268
S: 0.4159 0.7500 0.2732
S: 0.6255 0.2500 0.3205
S: 0.0968 0.7500 0.4518
S: 0.9032 0.2500 0.5482
S: 0.3745 0.7500 0.6795
S: 0.5841 0.2500 0.7268
S: 0.0841 0.2500 0.7732
S: 0.8745 0.7500 0.8205
S: 0.4032 0.2500 0.9518
Sn: 0.0425 0.7500 0.0936
Sn: 0.5425 0.7500 0.4064
Sn: 0.4575 0.2500 0.5936
Sn: 0.9575 0.2500 0.9064